1.
{
  "formula": "Mg13Pt2",
  "functional": "PBE",
  "state": "relaxed",
  "sg": "P-1 (2)",
  "dos_ef_per_ev_cell": 4.35,
  "ef_ev_per_atom": -0.287,
  "energy_ev_per_atom": -2.474,
  "cell": [[-2.916, 4.840, -2.218], [2.950, -3.036, -5.987], [-7.088, -3.361, 1.914]],
  "species": ["Mg", "Mg", "Mg", "Mg", "Mg", "Pt", "Mg", "Mg", "Mg", "Mg", "Pt", "Mg", "Mg", "Mg", "Mg"],
  "frac_coords": [[0.436, 0.773, 0.870], [0.290, 0.913, 0.262], [0.183, 0.997, 0.654], [0.476, 0.657, 0.432], [0.710, 0.087, 0.738], [0.810, 0.721, 0.690], [0.000, 0.000, 0.000], [0.957, 0.575, 0.357], [0.817, 0.003, 0.346], [0.524, 0.343, 0.568], [0.190, 0.279, 0.310], [0.043, 0.425, 0.643], [0.564, 0.227, 0.130], [0.225, 0.430, 0.026], [0.775, 0.570, 0.974]]
}

---

2.
{
  "formula": "Mg3Pt",
  "functional": "PBE",
  "state": "relaxed",
  "sg": "P2/m (10)",
  "dos_ef_per_ev_cell": 1.46,
  "ef_ev_per_atom": -0.459,
  "energy_ev_per_atom": -3.166,
  "cell": [[9.587, 0.000, -0.343], [0.000, 3.267, 0.000], [-12.191, 0.000, 2.805]],
  "species": ["Mg", "Mg", "Mg", "Pt"],
  "frac_coords": [[0.750, 0.500, 0.000], [0.092, 0.000, 0.062], [0.408, 0.000, 0.938], [0.250, 0.500, 0.000]]
}

---

3.
{
  "formula": "MgPt",
  "functional": "PBE",
  "state": "relaxed",
  "sg": "P6_3/mmc (194)",
  "dos_ef_per_ev_cell": 1.30,
  "ef_ev_per_atom": -0.621,
  "energy_ev_per_atom": -4.439,
  "cell": [[-0.380, 3.951, 0.760], [-2.111, -2.685, 2.160], [4.064, -0.302, 3.598]],
  "species": ["Pt", "Mg", "Pt", "Mg"],
  "frac_coords": [[0.000, 0.000, 0.000], [0.333, 0.667, 0.250], [0.000, 0.000, 0.500], [0.667, 0.333, 0.750]]
}

---

4.
{
  "formula": "MgPt2",
  "functional": "PBE",
  "state": "relaxed",
  "sg": "P-62m (189)",
  "dos_ef_per_ev_cell": 2.39,
  "ef_ev_per_atom": -0.605,
  "energy_ev_per_atom": -5.163,
  "cell": [[4.894, 0.000, 0.000], [-2.447, 4.238, 0.000], [0.000, 0.000, 4.575]],
  "species": ["Pt", "Pt", "Mg", "Pt", "Pt", "Mg"],
  "frac_coords": [[0.000, 0.000, 0.500], [0.000, 0.333, 0.000], [0.333, 0.667, 0.500], [0.667, 0.667, 0.000], [0.333, 0.000, 0.000], [0.667, 0.333, 0.500]]
}

---

5.
{
  "formula": "MgPt2",
  "functional": "PBE",
  "state": "relaxed",
  "sg": "Pa-3 (205)",
  "dos_ef_per_ev_cell": 3.78,
  "ef_ev_per_atom": 0.180,
  "energy_ev_per_atom": -4.379,
  "cell": [[6.092, 0.000, 0.000], [0.000, 6.092, 0.000], [0.000, 0.000, 6.092]],
  "species": ["Mg", "Pt", "Pt", "Pt", "Pt", "Mg", "Pt", "Pt", "Pt", "Pt", "Mg", "Mg"],
  "frac_coords": [[0.500, 0.500, 0.000], [0.121, 0.879, 0.379], [0.121, 0.621, 0.879], [0.379, 0.121, 0.879], [0.879, 0.379, 0.121], [0.000, 0.000, 0.000], [0.379, 0.379, 0.379], [0.879, 0.121, 0.621], [0.621, 0.879, 0.121], [0.621, 0.621, 0.621], [0.500, 0.000, 0.500], [0.000, 0.500, 0.500]]
}

---

6.
{
  "formula": "MgPt2",
  "functional": "PBE",
  "state": "relaxed",
  "sg": "P4/mmm (123)",
  "dos_ef_per_ev_cell": 1.27,
  "ef_ev_per_atom": -0.370,
  "energy_ev_per_atom": -4.928,
  "cell": [[-2.755, 1.795, 1.803], [1.435, -1.098, 3.286], [2.283, 3.373, 0.130]],
  "species": ["Pt", "Mg", "Pt"],
  "frac_coords": [[0.500, 0.000, 0.500], [0.000, 0.000, 0.000], [0.000, 0.500, 0.500]]
}

---

7.
{
  "formula": "MgPt3",
  "functional": "PBE",
  "state": "relaxed",
  "sg": "Cmmm (65)",
  "dos_ef_per_ev_cell": 2.22,
  "ef_ev_per_atom": -0.564,
  "energy_ev_per_atom": -5.493,
  "cell": [[-4.622, -0.467, -1.140], [2.525, -2.497, -3.205], [-0.177, -2.319, 1.667]],
  "species": ["Mg", "Pt", "Pt", "Pt"],
  "frac_coords": [[0.000, 0.000, 0.000], [0.000, 0.500, 0.500], [0.500, 0.000, 0.500], [0.500, 0.500, 0.000]]
}

---

8.
{
  "formula": "MgPt3",
  "functional": "PBE",
  "state": "relaxed",
  "sg": "Pmmm (47)",
  "dos_ef_per_ev_cell": 5.49,
  "ef_ev_per_atom": -0.463,
  "energy_ev_per_atom": -5.392,
  "cell": [[2.808, 0.000, 0.000], [0.000, 4.003, 0.000], [0.000, 0.000, 5.614]],
  "species": ["Pt", "Pt", "Pt", "Mg"],
  "frac_coords": [[0.000, 0.000, 0.500], [0.500, 0.500, 0.250], [0.500, 0.500, 0.750], [0.000, 0.000, 0.000]]
}

---

9.
{
  "formula": "Mg3Pt",
  "functional": "PBE",
  "state": "relaxed",
  "sg": "P4_2/mnm (136)",
  "dos_ef_per_ev_cell": 5.92,
  "ef_ev_per_atom": -0.537,
  "energy_ev_per_atom": -3.243,
  "cell": [[7.090, 0.000, 0.000], [0.000, 7.090, 0.000], [0.000, 0.000, 6.833]],
  "species": ["Mg", "Mg", "Mg", "Mg", "Mg", "Pt", "Mg", "Mg", "Mg", "Mg", "Pt", "Pt", "Mg", "Pt", "Mg", "Mg"],
  "frac_coords": [[0.000, 0.500, 0.000], [0.843, 0.843, 0.254], [0.500, 0.000, 0.500], [0.657, 0.343, 0.246], [0.157, 0.157, 0.746], [0.646, 0.646, 0.000], [0.657, 0.343, 0.754], [0.843, 0.843, 0.746], [0.157, 0.157, 0.254], [0.343, 0.657, 0.246], [0.854, 0.146, 0.500], [0.146, 0.854, 0.500], [0.343, 0.657, 0.754], [0.354, 0.354, 0.000], [0.500, 0.000, 0.000], [0.000, 0.500, 0.500]]
}

---

10.
{
  "formula": "Mg3Pt4",
  "functional": "PBE",
  "state": "relaxed",
  "sg": "R-3 (148)",
  "dos_ef_per_ev_cell": 4.65,
  "ef_ev_per_atom": -0.751,
  "energy_ev_per_atom": -4.887,
  "cell": [[5.305, 0.000, -1.386], [-2.631, 5.912, -2.841], [-0.043, 0.000, 7.067]],
  "species": ["Pt", "Mg", "Pt", "Mg", "Pt", "Mg", "Mg", "Pt", "Pt", "Pt", "Pt", "Mg", "Pt", "Mg"],
  "frac_coords": [[0.635, 0.564, 0.854], [0.441, 0.719, 0.579], [0.219, 0.854, 0.290], [0.559, 0.281, 0.421], [0.000, 0.000, 0.000], [0.278, 0.140, 0.719], [0.862, 0.421, 0.140], [0.929, 0.710, 0.564], [0.500, 0.000, 0.000], [0.071, 0.290, 0.436], [0.781, 0.146, 0.710], [0.722, 0.860, 0.281], [0.365, 0.436, 0.146], [0.138, 0.579, 0.860]]
}

---

11.
{
  "formula": "MgPt",
  "functional": "PBE",
  "state": "relaxed",
  "sg": "I4/m (87)",
  "dos_ef_per_ev_cell": 4.83,
  "ef_ev_per_atom": -0.378,
  "energy_ev_per_atom": -4.196,
  "cell": [[-0.884, -2.296, -8.822], [-4.506, -7.595, 2.428], [-3.735, 2.156, -0.187]],
  "species": ["Mg", "Mg", "Pt", "Mg", "Pt", "Pt", "Pt", "Mg", "Pt", "Mg", "Mg", "Pt", "Pt", "Pt", "Mg", "Mg"],
  "frac_coords": [[0.233, 0.139, 0.000], [0.267, 0.361, 0.500], [0.400, 0.107, 0.500], [0.639, 0.267, 0.500], [0.900, 0.607, 0.000], [0.607, 0.100, 0.000], [0.600, 0.893, 0.500], [0.861, 0.233, 0.000], [0.893, 0.400, 0.500], [0.733, 0.639, 0.500], [0.361, 0.733, 0.500], [0.393, 0.900, 0.000], [0.100, 0.393, 0.000], [0.107, 0.600, 0.500], [0.139, 0.767, 0.000], [0.767, 0.861, 0.000]]
}

---

12.
{
  "formula": "MgPt3",
  "functional": "PBE",
  "state": "relaxed",
  "sg": "C2/m (12)",
  "dos_ef_per_ev_cell": 4.30,
  "ef_ev_per_atom": -0.500,
  "energy_ev_per_atom": -5.429,
  "cell": [[-0.452, 2.086, -4.372], [-0.090, -0.710, -4.813], [-4.099, -2.143, 10.234]],
  "species": ["Mg", "Pt", "Pt", "Pt"],
  "frac_coords": [[0.000, 0.000, 0.000], [0.002, 0.002, 0.750], [0.000, 0.000, 0.500], [0.998, 0.998, 0.250]]
}

---

13.
{
  "formula": "Mg5Pt2",
  "functional": "PBE",
  "state": "relaxed",
  "sg": "Ibam (72)",
  "dos_ef_per_ev_cell": 6.14,
  "ef_ev_per_atom": -0.644,
  "energy_ev_per_atom": -3.508,
  "cell": [[-2.302, -5.256, -0.705], [4.914, -2.680, 3.937], [-5.051, 4.897, 3.689]],
  "species": ["Pt", "Mg", "Mg", "Pt", "Mg", "Mg", "Pt", "Mg", "Pt", "Mg", "Mg", "Mg", "Mg", "Mg"],
  "frac_coords": [[0.123, 0.887, 0.246], [0.582, 0.930, 0.164], [0.017, 0.267, 0.534], [0.877, 0.113, 0.754], [0.250, 0.500, 0.000], [0.418, 0.070, 0.836], [0.623, 0.360, 0.246], [0.983, 0.733, 0.466], [0.377, 0.640, 0.754], [0.082, 0.234, 0.164], [0.750, 0.500, 0.000], [0.918, 0.766, 0.836], [0.517, 0.267, 0.534], [0.483, 0.733, 0.466]]
}

---

14.
{
  "formula": "MgPt2",
  "functional": "PBE",
  "state": "relaxed",
  "sg": "I4_1/amd (141)",
  "dos_ef_per_ev_cell": 4.73,
  "ef_ev_per_atom": -0.698,
  "energy_ev_per_atom": -5.257,
  "cell": [[-0.237, 9.930, -7.475], [-4.749, 7.050, -9.071], [0.950, -7.114, 10.150]],
  "species": ["Mg", "Pt", "Pt", "Pt", "Pt", "Mg", "Pt", "Pt", "Pt", "Mg", "Pt", "Mg"],
  "frac_coords": [[0.171, 0.671, 0.500], [0.252, 0.252, 0.000], [0.748, 0.748, 0.000], [0.834, 0.334, 0.500], [0.998, 0.498, 0.500], [0.329, 0.829, 0.500], [0.584, 0.584, 0.000], [0.502, 0.002, 0.500], [0.666, 0.166, 0.500], [0.079, 0.079, 0.000], [0.416, 0.416, 0.000], [0.921, 0.921, 0.000]]
}

---

15.
{
  "formula": "Mg3Pt",
  "functional": "PBE",
  "state": "relaxed",
  "sg": "Pm-3n (223)",
  "dos_ef_per_ev_cell": 3.33,
  "ef_ev_per_atom": -0.471,
  "energy_ev_per_atom": -3.178,
  "cell": [[5.258, 0.000, 0.000], [0.000, 5.258, 0.000], [0.000, 0.000, 5.258]],
  "species": ["Pt", "Mg", "Pt", "Mg", "Mg", "Mg", "Mg", "Mg"],
  "frac_coords": [[0.000, 0.000, 0.000], [0.000, 0.250, 0.500], [0.500, 0.500, 0.500], [0.500, 0.000, 0.250], [0.500, 0.000, 0.750], [0.250, 0.500, 0.000], [0.000, 0.750, 0.500], [0.750, 0.500, 0.000]]
}

---

16.
{
  "formula": "Mg5Pt",
  "functional": "PBE",
  "state": "relaxed",
  "sg": "F-43m (216)",
  "dos_ef_per_ev_cell": 1.60,
  "ef_ev_per_atom": -0.023,
  "energy_ev_per_atom": -2.359,
  "cell": [[0.000, 3.899, 3.899], [3.899, 0.000, 3.899], [3.899, 3.899, 0.000]],
  "species": ["Mg", "Mg", "Pt", "Mg", "Mg", "Mg"],
  "frac_coords": [[0.750, 0.750, 0.750], [0.877, 0.374, 0.374], [0.000, 0.000, 0.000], [0.374, 0.374, 0.877], [0.374, 0.877, 0.374], [0.374, 0.374, 0.374]]
}

---

17.
{
  "formula": "MgPt2",
  "functional": "PBE",
  "state": "relaxed",
  "sg": "Immm (71)",
  "dos_ef_per_ev_cell": 2.60,
  "ef_ev_per_atom": -0.548,
  "energy_ev_per_atom": -5.107,
  "cell": [[-0.458, -1.179, -4.794], [-0.539, -4.695, -1.499], [-1.765, 3.689, 2.804]],
  "species": ["Mg", "Pt", "Pt"],
  "frac_coords": [[0.000, 0.000, 0.000], [0.661, 0.661, 0.000], [0.339, 0.339, 0.000]]
}

---

18.
{
  "formula": "Mg3Pt",
  "functional": "PBE",
  "state": "relaxed",
  "sg": "P6_3/mmc (194)",
  "dos_ef_per_ev_cell": 4.01,
  "ef_ev_per_atom": -0.526,
  "energy_ev_per_atom": -3.233,
  "cell": [[-0.548, -5.905, -0.463], [4.071, -3.566, 2.469], [-2.498, -0.081, 4.000]],
  "species": ["Mg", "Mg", "Mg", "Pt", "Mg", "Pt", "Mg", "Mg"],
  "frac_coords": [[0.174, 0.174, 0.750], [0.174, 0.652, 0.750], [0.826, 0.348, 0.250], [0.333, 0.333, 0.250], [0.826, 0.826, 0.250], [0.667, 0.667, 0.750], [0.652, 0.174, 0.750], [0.348, 0.826, 0.250]]
}

---

19.
{
  "formula": "MgPt",
  "functional": "PBE",
  "state": "relaxed",
  "sg": "I-43m (217)",
  "ef_ev_per_atom": -0.037,
  "energy_ev_per_atom": -3.855,
  "cell": [[7.976, 0.000, 0.000], [0.000, 7.976, 0.000], [0.000, 0.000, 7.976]],
  "species": ["Mg", "Pt", "Pt", "Mg", "Mg", "Mg", "Mg", "Pt", "Mg", "Mg", "Mg", "Pt", "Pt", "Pt", "Pt", "Pt"],
  "frac_coords": [[0.304, 0.696, 0.304], [0.622, 0.378, 0.622], [0.378, 0.622, 0.622], [0.196, 0.804, 0.804], [0.196, 0.196, 0.196], [0.804, 0.196, 0.804], [0.696, 0.696, 0.696], [0.878, 0.878, 0.878], [0.696, 0.304, 0.304], [0.304, 0.304, 0.696], [0.804, 0.804, 0.196], [0.622, 0.622, 0.378], [0.122, 0.122, 0.878], [0.122, 0.878, 0.122], [0.378, 0.378, 0.378], [0.878, 0.122, 0.122]]
}

---

20.
{
  "formula": "MgPt2",
  "functional": "PBE",
  "state": "relaxed",
  "sg": "Cmcm (63)",
  "dos_ef_per_ev_cell": 2.14,
  "ef_ev_per_atom": -0.649,
  "energy_ev_per_atom": -5.208,
  "cell": [[-1.234, -2.721, 5.602], [-1.957, 0.462, -6.023], [2.324, -3.098, -0.993]],
  "species": ["Mg", "Pt", "Pt", "Pt", "Mg", "Pt"],
  "frac_coords": [[0.911, 0.089, 0.250], [0.744, 0.256, 0.750], [0.256, 0.744, 0.250], [0.418, 0.582, 0.750], [0.089, 0.911, 0.750], [0.582, 0.418, 0.250]]
}

---

21.
{
  "formula": "MgPt2",
  "functional": "PBE",
  "state": "relaxed",
  "sg": "P-62m (189)",
  "dos_ef_per_ev_cell": 8.39,
  "ef_ev_per_atom": -0.539,
  "energy_ev_per_atom": -5.098,
  "cell": [[2.653, 1.275, 7.028], [-3.643, -6.504, -1.575], [2.455, -1.204, -0.708]],
  "species": ["Mg", "Mg", "Pt", "Pt", "Mg", "Pt", "Pt", "Pt", "Pt"],
  "frac_coords": [[0.333, 0.667, 0.500], [0.667, 0.333, 0.500], [0.365, 0.365, 0.000], [0.000, 0.635, 0.000], [0.000, 0.000, 0.000], [0.699, 0.699, 0.500], [0.301, 0.000, 0.500], [0.000, 0.301, 0.500], [0.635, 0.000, 0.000]]
}

---

22.
{
  "formula": "MgPt2",
  "functional": "PBE",
  "state": "relaxed",
  "sg": "I4/mmm (139)",
  "dos_ef_per_ev_cell": 1.55,
  "ef_ev_per_atom": -0.585,
  "energy_ev_per_atom": -5.144,
  "cell": [[-0.742, 2.131, 5.797], [-4.242, 0.689, 4.498], [2.966, -3.214, -4.424]],
  "species": ["Pt", "Pt", "Mg"],
  "frac_coords": [[0.163, 0.163, 0.000], [0.837, 0.837, 0.000], [0.500, 0.500, 0.000]]
}

---

23.
{
  "formula": "MgPt",
  "functional": "PBE",
  "state": "relaxed",
  "sg": "P6_3/m (176)",
  "dos_ef_per_ev_cell": 4.32,
  "ef_ev_per_atom": -0.478,
  "energy_ev_per_atom": -4.295,
  "cell": [[7.368, 0.000, 0.000], [-3.684, 6.381, 0.000], [0.000, 0.000, 4.859]],
  "species": ["Mg", "Pt", "Pt", "Pt", "Mg", "Mg", "Pt", "Pt", "Pt", "Mg", "Mg", "Mg"],
  "frac_coords": [[0.313, 0.226, 0.250], [0.464, 0.353, 0.750], [0.353, 0.889, 0.250], [0.647, 0.111, 0.750], [0.226, 0.913, 0.750], [0.687, 0.774, 0.750], [0.536, 0.647, 0.250], [0.889, 0.536, 0.750], [0.111, 0.464, 0.250], [0.913, 0.687, 0.250], [0.087, 0.313, 0.750], [0.774, 0.087, 0.250]]
}

---

24.
{
  "formula": "MgPt",
  "functional": "PBE",
  "state": "relaxed",
  "sg": "Pmmn (59)",
  "dos_ef_per_ev_cell": 1.38,
  "ef_ev_per_atom": -0.681,
  "energy_ev_per_atom": -4.499,
  "cell": [[-2.129, -0.255, 1.931], [-2.536, -1.376, -2.978], [1.572, -5.171, 1.051]],
  "species": ["Mg", "Pt", "Mg", "Pt"],
  "frac_coords": [[0.500, 0.500, 0.717], [0.500, 0.500, 0.216], [0.000, 0.000, 0.033], [0.000, 0.000, 0.534]]
}